No. 1
VASP calculation (PBE-GGA) on crystalline CaSmAgCl6 at its relaxed geometry.

Unit cell a=6.9973 b=6.9973 c=12.1108 alpha=90.00 beta=90.00 gamma=120.00
Space group P-31c (No. 163)
One atom of each set of equivalent atoms:
Ca: 0.3333 0.6667 0.2500 (multiplicity 2)
Sm: 0.3333 0.6667 0.7500 (multiplicity 2)
Ag: 0.0000 0.0000 0.0000 (multiplicity 2)
Cl: 0.0039 0.3453 0.6273 (multiplicity 12)

Calculated values
uncorrected formation energy	-1635	kJ/mol of formula units
N(E_F)	0.000	states/eV/f.u.
size of the total moment	0.0000	μB per atom
total DFT energy (no corrections)	-4.1776	eV per atom

---

No. 2
VASP calculation (PBE-GGA) on crystalline CaAgSnCl5 at its relaxed geometry.

Unit cell a=8.885 b=12.339 c=9.814 alpha=90.00 beta=115.77 gamma=90.00
Space group C2/c (No. 15)
One atom of each set of equivalent atoms:
Ca: 0.000 0.000 0.000 (multiplicity 4)
Ag: 0.000 0.314 0.250 (multiplicity 4)
Sn: 0.000 0.364 0.750 (multiplicity 4)
Cl: 0.000 0.106 0.750 (multiplicity 4)
Cl: 0.155 0.183 0.158 (multiplicity 8)
Cl: 0.163 0.467 0.443 (multiplicity 8)

Calculated values
uncorrected formation energy	-1018	kJ/mol of formula units
N(E_F)	0.000	states/eV/f.u.
size of the total moment	0.0000	μB per atom
total DFT energy (no corrections)	-3.5795	eV per atom

---

No. 3
VASP calculation (PBE-GGA) on crystalline SrCaAg2Cl8 at its relaxed geometry.

Unit cell a=6.842 b=6.842 c=13.740 alpha=90.00 beta=90.00 gamma=90.00
Space group I-4 (No. 82)
One atom of each set of equivalent atoms:
Sr: 0.000 0.000 0.000 (multiplicity 2)
Ca: 0.000 0.500 0.750 (multiplicity 2)
Ag: 0.000 0.000 0.500 (multiplicity 2)
Ag: 0.000 0.500 0.250 (multiplicity 2)
Cl: 0.155 0.297 0.569 (multiplicity 8)
Cl: 0.170 0.796 0.186 (multiplicity 8)

Calculated values
uncorrected formation energy	-1509	kJ/mol of formula units
N(E_F)	5.462	states/eV/f.u.
size of the total moment	0.0014	μB per atom
total DFT energy (no corrections)	-3.3163	eV per atom

---

No. 4
VASP calculation (PBE-GGA) on crystalline CaTlAgCl2 at its relaxed geometry.

Unit cell a=5.432 b=5.432 c=6.538 alpha=90.00 beta=90.00 gamma=90.00
Space group P4/mmm (No. 123)
One atom of each set of equivalent atoms:
Ca: 0.000 0.000 0.000 (multiplicity 1)
Tl: 0.000 0.000 0.500 (multiplicity 1)
Ag: 0.500 0.500 0.000 (multiplicity 1)
Cl: 0.000 0.500 0.500 (multiplicity 2)

Calculated values
uncorrected formation energy	-65	kJ/mol of formula units
N(E_F)	1.450	states/eV/f.u.
size of the total moment	0.0000	μB per atom
total DFT energy (no corrections)	-2.3171	eV per atom